## NpMnCoRu (PBE-GGA)

Data for crystalline NpMnCoRu at its relaxed geometry.

Summary:
SG: F-43m
Fermi-level density of states: 0.90 states/eV/atom
energy relative to the elements: 0.053 eV per atom
total magnetization: 1.24 μB/cell

a = 4.4337 Å, b = 4.4337 Å, c = 4.4337 Å
α = 60.00°, β = 60.00°, γ = 60.00°
Last column: nearest neighbours and their distance in Å.
Fractional positions:
Mn (0.0000, 0.0000, 0.0000)  4 Co 2.72, 4 Ru 2.72
Ru (0.7500, 0.7500, 0.7500)  4 Np 2.72, 4 Mn 2.72
Np (0.5000, 0.5000, 0.5000)  4 Ru 2.72, 4 Co 2.72
Co (0.2500, 0.2500, 0.2500)  4 Mn 2.72, 4 Np 2.72